An optimized crystal structure of Rb2CrNiO, computed with PBE with a Hubbard U.

Values from the calculation:
E = -16.174 eV per formula unit
Size of the total moment = 0.834 μB/atom
ρ = 3.1 g/cm3

a = 6.7422 Å, b = 6.7422 Å, c = 3.5101 Å
α = 90.00°, β = 90.00°, γ = 90.00°
Last column: nearest neighbours and their distance in Å.
Atoms (fractional coordinates):
Rb: 0.0000 0.5000 0.0000  2 Ni 3.37, 2 Rb 3.51
Rb: 0.5000 0.0000 0.0000  2 Ni 3.37, 2 Rb 3.51
Cr: 0.0000 0.0000 0.5000  2 Cr 3.51, 8 Rb 3.80
Ni: 0.5000 0.5000 0.0000  2 O 1.76
O: 0.5000 0.5000 0.5000  2 Ni 1.76